A plane-wave DFT calculation with PBE was carried out for a relaxed structure of Sc5Sb5H2.

The structure belongs to space group C2/m (No. 12); the cell edges are 11.364, 3.962 and 10.736 Å and the angles 90.00°, 95.61° and 90.00°. The distinct sites, in fractional coordinates, are Sc at (0.000, 0.000, 0.000), Sc at (0.090, 0.000, 0.323), Sc at (0.138, 0.500, 0.812), Sb at (0.000, 0.500, 0.500), Sb at (0.161, 0.500, 0.113), Sb at (0.199, 0.000, 0.613) and H at (0.055, 0.000, 0.826).

Its total DFT energy (no corrections) is -5.56 eV per atom. The value obtained for the total magnetic moment is 0.0 μB/f.u.